Entry 1:
LiHgSb2: optimized geometry, PBE-GGA.

Output
Formation energy without anion corrections   -11 kJ/mol of atoms
Calculated density   7.37 g/cm3

Lattice parameters (Å, degrees): 13.513 3.247 4.852 90.00 107.31 90.00
Space group Cm (No. 8)
One atom of each set of equivalent atoms:
1 Li 0.000 0.000 0.000 x2
2 Hg 0.195 0.500 0.356 x2
3 Sb 0.001 0.500 0.510 x2
4 Sb 0.303 0.000 0.984 x2

Entry 2:
ReTe2IN: optimized geometry, PBE-GGA.

Output
Distance to the lowest polymorph of the same formula   1433 meV per atom
Formation energy without anion corrections   178 kJ/mol of atoms
Calculated density   6.61 g/cm3

Lattice parameters (Å, degrees): 5.104 5.104 5.616 90.00 90.00 90.00
Space group P4/mmm (No. 123)
One atom of each set of equivalent atoms:
1 Re 0.000 0.000 0.000 x1
2 Te 0.000 0.500 0.000 x2
3 I 0.000 0.000 0.500 x1
4 N 0.500 0.500 0.500 x1

Entry 3:
Bi2HN: optimized geometry, PBE-GGA.

Output
Distance to the lowest polymorph of the same formula   0 meV per atom
Calculated density   8.94 g/cm3

Lattice parameters (Å, degrees): 5.393 5.393 11.059 90.00 90.00 90.00
Space group I-42d (No. 122)
One atom of each set of equivalent atoms:
1 Bi 0.249 0.250 0.125 x8
2 H 0.000 0.000 0.000 x4
3 N 0.000 0.000 0.500 x4

Entry 4:
Ho3MgRu: optimized geometry, PBE-GGA.

Output
Distance to the lowest polymorph of the same formula   36 meV per atom
Calculated density   6.81 g/cm3
ΔH_f (0 K)   -92.8 meV/atom

Lattice parameters (Å, degrees): 5.328 5.328 5.328 90.00 90.00 90.00
Space group Pm-3m (No. 221)
One atom of each set of equivalent atoms:
1 Ho 0.000 0.000 0.500 x3
2 Mg 0.500 0.500 0.500 x1
3 Ru 0.000 0.000 0.000 x1

Entry 5:
LaMgW: optimized geometry, PBE-GGA.

Output
Distance to the lowest polymorph of the same formula   535 meV per atom
Calculated density   7.45 g/cm3
ΔH_f (0 K)   1078.3 meV/atom

Lattice parameters (Å, degrees): 6.764 6.764 6.764 90.00 90.00 90.00
Space group F-43m (No. 216)
One atom of each set of equivalent atoms:
1 La 0.000 0.000 0.000 x4
2 Mg 0.000 0.000 0.500 x4
3 W 0.250 0.250 0.250 x4

Entry 6:
Sm8Er3Th2: optimized geometry, PBE-GGA.

Output
Calculated density   8.13 g/cm3
ΔH_f (0 K)   157.6 meV/atom

Lattice parameters (Å, degrees): 7.046 8.323 15.687 88.41 82.45 76.39
Space group P-1 (No. 2)
One atom of each set of equivalent atoms:
1 Sm 0.039 0.315 0.063 x2
2 Sm 0.097 0.791 0.361 x2
3 Sm 0.173 0.714 0.130 x2
4 Sm 0.201 0.231 0.447 x2
5 Sm 0.268 0.866 0.572 x2
6 Sm 0.295 0.082 0.226 x2
7 Sm 0.347 0.300 0.855 x2
8 Sm 0.446 0.432 0.283 x2
9 Er 0.076 0.557 0.712 x2
10 Er 0.207 0.938 0.796 x2
11 Er 0.500 0.000 0.000 x1
12 Er 0.500 0.500 0.500 x1
13 Th 0.420 0.187 0.639 x2
14 Th 0.489 0.645 0.928 x2

Entry 7:
CaLaTl2H: optimized geometry, PBE-GGA.

Output
Distance to the lowest polymorph of the same formula   51 meV per atom
Calculated density   7.60 g/cm3

Lattice parameters (Å, degrees): 5.542 5.542 4.188 90.00 90.00 90.00
Space group P4/mmm (No. 123)
One atom of each set of equivalent atoms:
1 Ca 0.000 0.000 0.000 x1
2 La 0.500 0.500 0.000 x1
3 Tl 0.000 0.500 0.500 x2
4 H 0.000 0.000 0.500 x1

Entry 8:
LaIn2Sb: optimized geometry, PBE-GGA.

Output
Distance to the lowest polymorph of the same formula   318 meV per atom
Formation energy without anion corrections   -25 kJ/mol of atoms
Calculated density   7.00 g/cm3

Lattice parameters (Å, degrees): 3.417 3.417 9.967 90.00 90.00 90.00
Space group P4mm (No. 99)
One atom of each set of equivalent atoms:
1 La 0.000 0.000 0.000 x1
2 In 0.000 0.000 0.513 x1
3 In 0.500 0.500 0.748 x1
4 Sb 0.500 0.500 0.241 x1